No. 1
ErAl6Au3 | GGA-PBE | optimized geometry

a b c (Å): 4.2650 8.5057 10.4256
angles (deg): 96.80 90.00 90.00
Sites, in units of the cell vectors:
1 Al 0.2500 0.9181 0.5413
2 Al 0.7500 0.6525 0.7897
3 Al 0.2500 0.1539 0.9468
4 Al 0.7500 0.4852 0.0880
5 Al 0.2500 0.5148 0.9120
6 Au 0.2500 0.6512 0.1674
7 Er 0.2500 0.0084 0.2343
8 Al 0.7500 0.0819 0.4587
9 Au 0.7500 0.7081 0.5497
10 Al 0.7500 0.8461 0.0532
11 Al 0.2500 0.5931 0.4215
12 Al 0.2500 0.3475 0.2103
13 Al 0.7500 0.4069 0.5785
14 Au 0.7500 0.3488 0.8326
15 Au 0.7500 0.1817 0.0939
16 Au 0.2500 0.2919 0.4503
17 Au 0.2500 0.8183 0.9061
18 Er 0.7500 0.9916 0.7657
19 Al 0.7500 0.7806 0.3128
20 Al 0.2500 0.2194 0.6872

Values from the calculation:
* space-group type: P2_1/m, No. 11

No. 2
Pm2In3 | GGA-PBE | optimized geometry

a b c (Å): 4.3796 10.8607 12.4778
angles (deg): 90.00 90.00 90.00
Sites, in units of the cell vectors:
1 In 0.2500 0.5638 0.8293
2 In 0.7500 0.7651 0.2480
3 In 0.2500 0.6475 0.5962
4 In 0.2500 0.2349 0.7520
5 Pm 0.7500 0.4259 0.6589
6 In 0.2500 0.9362 0.3293
7 In 0.7500 0.4362 0.1707
8 In 0.7500 0.0638 0.6707
9 Pm 0.2500 0.3414 0.9970
10 Pm 0.2500 0.1586 0.4970
11 In 0.7500 0.7349 0.7480
12 Pm 0.7500 0.6586 0.0030
13 Pm 0.7500 0.0741 0.1589
14 In 0.2500 0.2651 0.2520
15 In 0.2500 0.8525 0.0962
16 Pm 0.7500 0.8414 0.5030
17 Pm 0.2500 0.9259 0.8411
18 In 0.7500 0.3525 0.4038
19 Pm 0.2500 0.5741 0.3411
20 In 0.7500 0.1475 0.9038

Values from the calculation:
* space-group type: Pnma, No. 62
* offset from the most stable computed form: 0 meV per atom

No. 3
LuPa6 | GGA-PBE | optimized geometry

a b c (Å): 6.6154 6.6154 6.6154
angles (deg): 109.47 109.47 109.47
Each line ends with the local moment (μB).
Sites, in units of the cell vectors:
1 Pa 0.2500 0.5000 0.7500  1.07
2 Pa 0.7500 0.5000 0.2500  1.07
3 Lu 0.0000 0.0000 0.0000  0.00
4 Pa 0.2500 0.7500 0.5000  1.07
5 Pa 0.7500 0.2500 0.5000  1.07
6 Pa 0.5000 0.2500 0.7500  1.07
7 Pa 0.5000 0.7500 0.2500  1.07

Values from the calculation:
* space-group type: Im-3m, No. 229

No. 4
CoRh | GGA-PBE | optimized geometry

a b c (Å): 2.6643 2.6643 4.2017
angles (deg): 90.00 90.00 120.00
Each line ends with the local moment (μB).
Sites, in units of the cell vectors:
1 Rh 0.3333 0.6667 0.5000  0.61
2 Co 0.0000 0.0000 0.0000  1.93

Values from the calculation:
* space-group type: P-6m2, No. 187

no.,energy of formation from the pure elements (eV per atom),DOS at the Fermi energy (states/eV/atom)
1,-0.39,0.294
2,-0.41,0.612
3,1.45,3.212
4,0.04,1.312